## Cs2Ho2TeO6 (PBE)

Data for a geometry-optimized Cs2Ho2TeO6 structure.

Cell lengths 5.9986, 5.9986, 7.2888 Å; angles 97.68, 97.68, 119.87 degrees
Positions (direct):
Cs  0.1663  0.8337  0.0000
Cs  0.8337  0.1663  0.0000
Ho  0.3344  0.6656  0.5000
Ho  0.6656  0.3344  0.5000
Te  0.0000  0.0000  0.5000
O  0.0474  0.3781  0.6567
O  0.2721  0.2721  0.3435
O  0.3781  0.0474  0.6567
O  0.6219  0.9526  0.3433
O  0.7279  0.7279  0.6565
O  0.9526  0.6219  0.3433

Summary:
- formation energy without anion corrections (eV/atom) = -2.242
- magnetization (μB/f.u.) = 0.0

=====

## Hg2SbRu (PBE)

Data for a geometry-optimized Hg2SbRu structure.

Cell lengths 3.3088, 5.5587, 4.6206 Å; angles 90.00, 93.90, 90.00 degrees
Positions (direct):
Hg  0.2457  0.0000  0.2460
Hg  0.7543  0.0000  0.7540
Sb  0.5000  0.5000  0.5000
Ru  0.0000  0.5000  0.0000

Summary:
- formation energy without anion corrections (eV/atom) = 0.421
- magnetization (μB/f.u.) = 0.0

=====

## Ti12ReMo6 (PBE)

Data for a geometry-optimized Ti12ReMo6 structure.

Cell lengths 6.8517, 6.8517, 6.8517 Å; angles 87.41, 87.41, 87.41 degrees
Positions (direct):
Ti  0.0216  0.3016  0.9258
Ti  0.0742  0.9784  0.6984
Ti  0.1219  0.3397  0.4573
Ti  0.3016  0.9258  0.0216
Ti  0.3397  0.4573  0.1219
Ti  0.4573  0.1219  0.3397
Ti  0.5427  0.8781  0.6603
Ti  0.6603  0.5427  0.8781
Ti  0.6984  0.0742  0.9784
Ti  0.8781  0.6603  0.5427
Ti  0.9258  0.0216  0.3016
Ti  0.9784  0.6984  0.0742
Re  0.5000  0.5000  0.5000
Mo  0.2286  0.7664  0.3930
Mo  0.2336  0.6070  0.7714
Mo  0.3930  0.2286  0.7664
Mo  0.6070  0.7714  0.2336
Mo  0.7664  0.3930  0.2286
Mo  0.7714  0.2336  0.6070

Summary:
- magnetization (μB/f.u.) = 0.0
- energy of formation (meV/atom) = -8